Below is a geometry-optimized BeCrOs structure, with properties calculated at the GGA-PBE level.

Output
energy above the most stable polymorph in this dataset = 0.161 eV per atom
magnetic moment = 0.00 μB per atom
volume = 11.587 A^3/atom
SG = Cm, No. 8
Fermi-level density of states = 9.54 states/eV per cell

Geometry as CIF:
```
data_BeCrOs
_cell_length_a 8.226
_cell_length_b 4.079
_cell_length_c 4.919
_cell_angle_alpha 90.00
_cell_angle_beta 122.60
_cell_angle_gamma 90.00
_space_group_name_H-M_alt 'P 1'
_space_group_IT_number 1
loop_
_space_group_symop_operation_xyz
'x,y,z'
loop_
_atom_site_label
_atom_site_type_symbol
_atom_site_fract_x
_atom_site_fract_y
_atom_site_fract_z
_atom_site_occupancy
Be1 Be 0.000 0.000 0.000 1
Be2 Be 0.184 0.500 0.542 1
Be3 Be 0.500 0.500 0.000 1
Be4 Be 0.684 0.000 0.542 1
Cr1 Cr 0.016 0.000 0.520 1
Cr2 Cr 0.339 0.000 0.007 1
Cr3 Cr 0.516 0.500 0.520 1
Cr4 Cr 0.839 0.500 0.007 1
Os1 Os 0.178 0.500 0.028 1
Os2 Os 0.335 0.000 0.502 1
Os3 Os 0.678 0.000 0.028 1
Os4 Os 0.835 0.500 0.502 1
```

---

Below is a geometry-optimized BeCrOs2 structure, with properties calculated at the GGA-PBE level.

Output
E_tot = -8.858 eV/atom
magnetic moment = 0.21 μB per atom
volume = 12.531 A^3/atom
SG = P2/m, No. 10
Fermi-level density of states = 4.00 states/eV per cell

Geometry as CIF:
```
data_BeCrOs2
_cell_length_a 2.676
_cell_length_b 3.684
_cell_length_c 5.198
_cell_angle_alpha 90.00
_cell_angle_beta 102.00
_cell_angle_gamma 90.00
_space_group_name_H-M_alt 'P 1'
_space_group_IT_number 1
loop_
_space_group_symop_operation_xyz
'x,y,z'
loop_
_atom_site_label
_atom_site_type_symbol
_atom_site_fract_x
_atom_site_fract_y
_atom_site_fract_z
_atom_site_occupancy
Be1 Be 0.000 0.000 0.000 1
Cr1 Cr 0.000 0.000 0.500 1
Os1 Os 0.384 0.500 0.233 1
Os2 Os 0.616 0.500 0.767 1
```

---

Below is a geometry-optimized BeCrOs2 structure, with properties calculated at the GGA-PBE level.

Output
E_tot = -8.841 eV/atom
magnetic moment = 0.06 μB per atom
volume = 12.444 A^3/atom
SG = I-4m2, No. 119
Fermi-level density of states = 4.99 states/eV per cell

Geometry as CIF:
```
data_BeCrOs2
_cell_length_a 3.493
_cell_length_b 3.493
_cell_length_c 8.160
_cell_angle_alpha 90.00
_cell_angle_beta 90.00
_cell_angle_gamma 90.00
_space_group_name_H-M_alt 'P 1'
_space_group_IT_number 1
loop_
_space_group_symop_operation_xyz
'x,y,z'
loop_
_atom_site_label
_atom_site_type_symbol
_atom_site_fract_x
_atom_site_fract_y
_atom_site_fract_z
_atom_site_occupancy
Be1 Be 0.000 0.000 0.000 1
Be2 Be 0.500 0.500 0.500 1
Cr1 Cr 0.000 0.500 0.750 1
Cr2 Cr 0.500 0.000 0.250 1
Os1 Os 0.000 0.000 0.500 1
Os2 Os 0.000 0.500 0.250 1
Os3 Os 0.500 0.000 0.750 1
Os4 Os 0.500 0.500 0.000 1
```

---

Below is a geometry-optimized BeCrOs2 structure, with properties calculated at the GGA-PBE level.

Output
E_tot = -8.732 eV/atom
magnetic moment = 0.03 μB per atom
volume = 12.659 A^3/atom
SG = Pmmm, No. 47
Fermi-level density of states = 3.96 states/eV per cell

Geometry as CIF:
```
data_BeCrOs2
_cell_length_a 2.902
_cell_length_b 3.928
_cell_length_c 4.441
_cell_angle_alpha 90.00
_cell_angle_beta 90.00
_cell_angle_gamma 90.00
_space_group_name_H-M_alt 'P 1'
_space_group_IT_number 1
loop_
_space_group_symop_operation_xyz
'x,y,z'
loop_
_atom_site_label
_atom_site_type_symbol
_atom_site_fract_x
_atom_site_fract_y
_atom_site_fract_z
_atom_site_occupancy
Be1 Be 0.000 0.000 0.000 1
Cr1 Cr 0.500 0.000 0.500 1
Os1 Os 0.000 0.500 0.500 1
Os2 Os 0.500 0.500 0.000 1
```

---

Below is a geometry-optimized BeCrOs structure, with properties calculated at the GGA-PBE level.

Output
energy above the most stable polymorph in this dataset = 0.177 eV per atom
magnetic moment = 0.00 μB per atom
volume = 11.635 A^3/atom
SG = P-1, No. 2
Fermi-level density of states = 4.26 states/eV per cell

Geometry as CIF:
```
data_BeCrOs
_cell_length_a 4.221
_cell_length_b 4.390
_cell_length_c 4.577
_cell_angle_alpha 70.66
_cell_angle_beta 71.54
_cell_angle_gamma 62.82
_space_group_name_H-M_alt 'P 1'
_space_group_IT_number 1
loop_
_space_group_symop_operation_xyz
'x,y,z'
loop_
_atom_site_label
_atom_site_type_symbol
_atom_site_fract_x
_atom_site_fract_y
_atom_site_fract_z
_atom_site_occupancy
Be1 Be 0.207 0.413 0.279 1
Be2 Be 0.793 0.587 0.721 1
Cr1 Cr 0.123 0.913 0.756 1
Cr2 Cr 0.877 0.087 0.244 1
Os1 Os 0.430 0.259 0.762 1
Os2 Os 0.570 0.741 0.238 1
```

---

Below is a geometry-optimized BeCrOsRh structure, with properties calculated at the GGA-PBE level.

Output
E_tot = -8.129 eV/atom
magnetic moment = 0.25 μB per atom
volume = 12.255 A^3/atom
SG = F-43m, No. 216
Fermi-level density of states = 16.03 states/eV per cell

Geometry as CIF:
```
data_BeCrOsRh
_cell_length_a 5.810
_cell_length_b 5.810
_cell_length_c 5.810
_cell_angle_alpha 90.00
_cell_angle_beta 90.00
_cell_angle_gamma 90.00
_space_group_name_H-M_alt 'P 1'
_space_group_IT_number 1
loop_
_space_group_symop_operation_xyz
'x,y,z'
loop_
_atom_site_label
_atom_site_type_symbol
_atom_site_fract_x
_atom_site_fract_y
_atom_site_fract_z
_atom_site_occupancy
Be1 Be 0.000 0.000 0.000 1
Be2 Be 0.000 0.500 0.500 1
Be3 Be 0.500 0.000 0.500 1
Be4 Be 0.500 0.500 0.000 1
Cr1 Cr 0.000 0.000 0.500 1
Cr2 Cr 0.000 0.500 0.000 1
Cr3 Cr 0.500 0.000 0.000 1
Cr4 Cr 0.500 0.500 0.500 1
Os1 Os 0.250 0.250 0.250 1
Os2 Os 0.250 0.750 0.750 1
Os3 Os 0.750 0.250 0.750 1
Os4 Os 0.750 0.750 0.250 1
Rh1 Rh 0.250 0.250 0.750 1
Rh2 Rh 0.250 0.750 0.250 1
Rh3 Rh 0.750 0.250 0.250 1
Rh4 Rh 0.750 0.750 0.750 1
```

---

Below is a geometry-optimized BeCrSbOs2 structure, with properties calculated at the GGA-PBE level.

Output
magnetic moment = 0.05 μB per atom
formation energy (no corrections) = 560 kJ/mol of formula units
volume = 15.088 A^3/atom
SG = P4/mmm, No. 123
Fermi-level density of states = 5.75 states/eV per cell

Geometry as CIF:
```
data_BeCrSbOs2
_cell_length_a 4.155
_cell_length_b 4.155
_cell_length_c 4.371
_cell_angle_alpha 90.00
_cell_angle_beta 90.00
_cell_angle_gamma 90.00
_space_group_name_H-M_alt 'P 1'
_space_group_IT_number 1
loop_
_space_group_symop_operation_xyz
'x,y,z'
loop_
_atom_site_label
_atom_site_type_symbol
_atom_site_fract_x
_atom_site_fract_y
_atom_site_fract_z
_atom_site_occupancy
Be1 Be 0.000 0.000 0.000 1
Cr1 Cr 0.500 0.500 0.500 1
Sb1 Sb 0.000 0.000 0.500 1
Os1 Os 0.000 0.500 0.000 1
Os2 Os 0.500 0.000 0.000 1
```

---

Below is a geometry-optimized BeCrSnOs2 structure, with properties calculated at the GGA-PBE level.

Output
E_tot = -6.283 eV/atom
magnetic moment = 0.00 μB per atom
volume = 19.076 A^3/atom
SG = P4/mmm, No. 123
Fermi-level density of states = 4.28 states/eV per cell

Geometry as CIF:
```
data_BeCrSnOs2
_cell_length_a 4.479
_cell_length_b 4.479
_cell_length_c 4.754
_cell_angle_alpha 90.00
_cell_angle_beta 90.00
_cell_angle_gamma 90.00
_space_group_name_H-M_alt 'P 1'
_space_group_IT_number 1
loop_
_space_group_symop_operation_xyz
'x,y,z'
loop_
_atom_site_label
_atom_site_type_symbol
_atom_site_fract_x
_atom_site_fract_y
_atom_site_fract_z
_atom_site_occupancy
Be1 Be 0.000 0.000 0.000 1
Cr1 Cr 0.500 0.500 0.500 1
Sn1 Sn 0.500 0.500 0.000 1
Os1 Os 0.000 0.500 0.500 1
Os2 Os 0.500 0.000 0.500 1
```

---

Below is a geometry-optimized BeCr2SnOs structure, with properties calculated at the GGA-PBE level.

Output
E_tot = -5.520 eV/atom
magnetic moment = 1.56 μB per atom
volume = 23.963 A^3/atom
SG = P4/mmm, No. 123
Fermi-level density of states = 4.41 states/eV per cell

Geometry as CIF:
```
data_BeCr2SnOs
_cell_length_a 4.955
_cell_length_b 4.955
_cell_length_c 4.880
_cell_angle_alpha 90.00
_cell_angle_beta 90.00
_cell_angle_gamma 90.00
_space_group_name_H-M_alt 'P 1'
_space_group_IT_number 1
loop_
_space_group_symop_operation_xyz
'x,y,z'
loop_
_atom_site_label
_atom_site_type_symbol
_atom_site_fract_x
_atom_site_fract_y
_atom_site_fract_z
_atom_site_occupancy
Be1 Be 0.000 0.000 0.000 1
Cr1 Cr 0.000 0.500 0.500 1
Cr2 Cr 0.500 0.000 0.500 1
Sn1 Sn 0.500 0.500 0.500 1
Os1 Os 0.500 0.500 0.000 1
```

---

Below is a geometry-optimized BeTlCrOs2 structure, with properties calculated at the GGA-PBE level.

Output
E_tot = -5.785 eV/atom
magnetic moment = 0.00 μB per atom
volume = 19.661 A^3/atom
SG = P4/mmm, No. 123
Fermi-level density of states = 6.03 states/eV per cell

Geometry as CIF:
```
data_BeTlCrOs2
_cell_length_a 4.465
_cell_length_b 4.465
_cell_length_c 4.931
_cell_angle_alpha 90.00
_cell_angle_beta 90.00
_cell_angle_gamma 90.00
_space_group_name_H-M_alt 'P 1'
_space_group_IT_number 1
loop_
_space_group_symop_operation_xyz
'x,y,z'
loop_
_atom_site_label
_atom_site_type_symbol
_atom_site_fract_x
_atom_site_fract_y
_atom_site_fract_z
_atom_site_occupancy
Be1 Be 0.000 0.000 0.000 1
Tl1 Tl 0.500 0.500 0.000 1
Cr1 Cr 0.500 0.500 0.500 1
Os1 Os 0.000 0.500 0.500 1
Os2 Os 0.500 0.000 0.500 1
```

---

Copy entry 1 word for word.
Below is a geometry-optimized BeCrOs structure, with properties calculated at the GGA-PBE level.

Output
energy above the most stable polymorph in this dataset = 0.161 eV per atom
magnetic moment = 0.00 μB per atom
volume = 11.587 A^3/atom
SG = Cm, No. 8
Fermi-level density of states = 9.54 states/eV per cell

Geometry as CIF:
```
data_BeCrOs
_cell_length_a 8.226
_cell_length_b 4.079
_cell_length_c 4.919
_cell_angle_alpha 90.00
_cell_angle_beta 122.60
_cell_angle_gamma 90.00
_space_group_name_H-M_alt 'P 1'
_space_group_IT_number 1
loop_
_space_group_symop_operation_xyz
'x,y,z'
loop_
_atom_site_label
_atom_site_type_symbol
_atom_site_fract_x
_atom_site_fract_y
_atom_site_fract_z
_atom_site_occupancy
Be1 Be 0.000 0.000 0.000 1
Be2 Be 0.184 0.500 0.542 1
Be3 Be 0.500 0.500 0.000 1
Be4 Be 0.684 0.000 0.542 1
Cr1 Cr 0.016 0.000 0.520 1
Cr2 Cr 0.339 0.000 0.007 1
Cr3 Cr 0.516 0.500 0.520 1
Cr4 Cr 0.839 0.500 0.007 1
Os1 Os 0.178 0.500 0.028 1
Os2 Os 0.335 0.000 0.502 1
Os3 Os 0.678 0.000 0.028 1
Os4 Os 0.835 0.500 0.502 1
```